Record 1
An optimized crystal structure of BaLaAuSe3. Source: the Open Quantum Materials Database, functional PBE-GGA.

Computed properties:
Its space group is No. 11. As for the total energy: -4.967 eV/atom.

Cell: 8.4010 4.3075 10.2495 Å, 90.00 105.93 90.00°
Atoms (fractional coordinates):
Ba  0.7476  0.2500  0.7923
Ba  0.2524  0.7500  0.2077
Se  0.7678  0.7500  0.0443
Se  0.0574  0.2500  0.3527
Se  0.9426  0.7500  0.6473
Se  0.4489  0.7500  0.6541
Se  0.5511  0.2500  0.3459
Se  0.2322  0.2500  0.9557
Au  0.4093  0.7500  0.9007
Au  0.5907  0.2500  0.0993
La  0.1995  0.2500  0.6562
La  0.8005  0.7500  0.3438

Record 2
An optimized crystal structure of BaLaTeAuSe2. Source: the Open Quantum Materials Database, functional PBE-GGA.

Computed properties:
Its space group is No. 63. As for the total energy: -4.854 eV/atom.

Cell: 7.7902 7.7902 11.5821 Å, 90.00 90.00 147.31°
Atoms (fractional coordinates):
Te  0.9065  0.0935  0.7500
Te  0.0935  0.9065  0.2500
Au  0.4753  0.5246  0.2500
Au  0.5246  0.4753  0.7500
La  0.0000  0.0000  0.0000
La  0.0000  0.0000  0.5000
Ba  0.2250  0.7750  0.7500
Ba  0.7750  0.2250  0.2500
Se  0.3679  0.6321  0.0665
Se  0.6321  0.3679  0.5665
Se  0.6321  0.3679  0.9335
Se  0.3679  0.6321  0.4335

Record 3
An optimized crystal structure of BaLaTe2AuSe. Source: the Open Quantum Materials Database, functional PBE-GGA.

Computed properties:
Its space group is No. 63. As for the total energy: -4.722 eV/atom.

Cell: 7.8732 7.8732 11.2566 Å, 90.00 90.00 146.65°
Atoms (fractional coordinates):
Te  0.6475  0.3525  0.5593
Te  0.6475  0.3525  0.9407
Te  0.3525  0.6475  0.4407
Te  0.3525  0.6475  0.0593
Se  0.9260  0.0740  0.7500
Se  0.0740  0.9260  0.2500
La  0.0000  0.0000  0.0000
La  0.0000  0.0000  0.5000
Au  0.4696  0.5304  0.2500
Au  0.5304  0.4696  0.7500
Ba  0.2654  0.7346  0.7500
Ba  0.7346  0.2654  0.2500

Record 4
An optimized crystal structure of BaLiAu. Source: the Open Quantum Materials Database, functional PBE-GGA.

Computed properties:
Its space group is No. 129. The calculation puts the energy above the lowest structure with this stoichiometry at 0.00 eV/f.u. As for the total energy: -2.896 eV/atom.

Cell: 4.5515 4.5515 8.2703 Å, 90.00 90.00 90.00°
Atoms (fractional coordinates):
Li  0.5000  0.5000  0.5000
Li  0.0000  0.0000  0.5000
Ba  0.0000  0.5000  0.8299
Ba  0.5000  0.0000  0.1701
Au  0.5000  0.0000  0.6980
Au  0.0000  0.5000  0.3020

Record 5
An optimized crystal structure of BaLiMgAu2. Source: the Open Quantum Materials Database, functional PBE-GGA.

Computed properties:
Its space group is No. 119. As for the total energy: -2.989 eV/atom.

Cell: 6.9969 6.9969 6.9969 Å, 142.98 142.98 53.35°
Atoms (fractional coordinates):
Au  0.3813  0.3813  0.0000
Au  0.6187  0.6187  0.0000
Li  0.2500  0.7500  0.5000
Mg  0.7500  0.2500  0.5000
Ba  0.0000  0.0000  0.0000

Record 6
An optimized crystal structure of BaNaLiAu2. Source: the Open Quantum Materials Database, functional PBE-GGA.

Computed properties:
Its space group is No. 119. As for the total energy: -2.840 eV/atom.

Cell: 7.3424 7.3424 7.3424 Å, 144.60 144.60 50.93°
Atoms (fractional coordinates):
Au  0.3913  0.3913  0.0000
Au  0.6087  0.6087  0.0000
Na  0.7500  0.2500  0.5000
Li  0.2500  0.7500  0.5000
Ba  0.0000  0.0000  0.0000

Record 7
An optimized crystal structure of Ba2LiP2Au. Source: the Open Quantum Materials Database, functional PBE-GGA.

Computed properties:
Its space group is No. 187. As for the total energy: -4.199 eV/atom.

Cell: 4.4812 4.4812 8.9382 Å, 90.00 90.00 120.00°
Atoms (fractional coordinates):
P  0.0000  0.0000  0.5000
P  0.3333  0.6667  0.0000
Ba  0.6667  0.3333  0.7529
Ba  0.6667  0.3333  0.2471
Li  0.0000  0.0000  0.0000
Au  0.3333  0.6667  0.5000

Record 8
An optimized crystal structure of BaLiPbAu. Source: the Open Quantum Materials Database, functional PBE-GGA.

Computed properties:
Its space group is No. 216. The calculation puts the energy above the lowest structure with this stoichiometry at 0.44 eV/f.u. As for the total energy: -3.010 eV/atom.

Cell: 5.3381 5.3381 5.3381 Å, 60.00 60.00 60.00°
Atoms (fractional coordinates):
Li  0.5000  0.5000  0.5000
Au  0.7500  0.7500  0.7500
Pb  0.0000  0.0000  0.0000
Ba  0.2500  0.2500  0.2500